DFT (PBE+U) results for a relaxed structure of KLiCoO3.

Cell lengths 5.335, 5.425, 5.771 Å; angles 118.03, 90.00, 90.00 degrees
Last column: magnetic moment on the atom in μB.
Sites, in units of the cell vectors:
K: 0.750 0.264 0.528  0.01
K: 0.250 0.736 0.472  0.01
Li: 0.250 0.425 0.849  0.02
Li: 0.750 0.575 0.151  0.02
Co: 0.250 0.053 0.106  2.23
Co: 0.750 0.947 0.894  2.23
O: 0.250 0.227 0.454  0.48
O: 0.000 0.228 0.000  0.05
O: 0.500 0.772 0.000  0.05
O: 0.500 0.228 0.000  0.05
O: 0.000 0.772 0.000  0.05
O: 0.750 0.773 0.546  0.48

Output
The mass density is 3.45 g/cm3. Its space group is No. 63. Its total energy is -5.15 eV/atom.